# Na2MnSiO meta-GGA SCAN single point on PBEsol structure
data_Na2MnSiO
_cell_length_a 5.870
_cell_length_b 5.870
_cell_length_c 3.443
_cell_angle_alpha 90.00
_cell_angle_beta 90.00
_cell_angle_gamma 90.00
_symmetry_space_group_name_H-M 'P 4/m m m'
_symmetry_Int_Tables_number 123
_symmetry_space_group_name_Hall '-P 4 2'
loop_
_atom_site_label
_atom_site_fract_x
_atom_site_fract_y
_atom_site_fract_z
Na1 0.000 0.500 0.000
Mn1 0.000 0.000 0.500
Si1 0.500 0.500 0.000
O1 0.500 0.500 0.500
# Formation energy (no corrections) in eV per atom: 0.08


# NaMnVO4 meta-GGA SCAN single point on PBEsol structure
data_NaMnVO4
_cell_length_a 9.431
_cell_length_b 6.773
_cell_length_c 5.258
_cell_angle_alpha 90.00
_cell_angle_beta 90.00
_cell_angle_gamma 90.00
_symmetry_space_group_name_H-M 'P n m a'
_symmetry_Int_Tables_number 62
_symmetry_space_group_name_Hall '-P 2ac 2n'
loop_
_atom_site_label
_atom_site_fract_x
_atom_site_fract_y
_atom_site_fract_z
Na1 0.147 0.250 0.015
Mn1 0.000 0.000 0.500
V1 0.180 0.750 0.023
O1 0.114 0.552 0.185
O2 0.119 0.750 0.711
O3 0.134 0.250 0.562
# Formation energy (no corrections) in eV per atom: -2.42


# NaMnP2S meta-GGA SCAN single point on PBEsol structure
data_NaMnP2S
_cell_length_a 4.293
_cell_length_b 4.293
_cell_length_c 4.999
_cell_angle_alpha 90.00
_cell_angle_beta 90.00
_cell_angle_gamma 90.00
_symmetry_space_group_name_H-M 'P 4/m m m'
_symmetry_Int_Tables_number 123
_symmetry_space_group_name_Hall '-P 4 2'
loop_
_atom_site_label
_atom_site_fract_x
_atom_site_fract_y
_atom_site_fract_z
Na1 0.000 0.000 0.000
Mn1 0.500 0.500 0.500
P1 0.000 0.500 0.500
S1 0.500 0.500 0.000
# Formation energy (no corrections) in eV per atom: -0.06


# NaMnPb3 meta-GGA SCAN single point on PBEsol structure
data_NaMnPb3
_cell_length_a 5.358
_cell_length_b 5.358
_cell_length_c 5.358
_cell_angle_alpha 90.00
_cell_angle_beta 90.00
_cell_angle_gamma 90.00
_symmetry_space_group_name_H-M 'P m -3 m'
_symmetry_Int_Tables_number 221
_symmetry_space_group_name_Hall '-P 4 2 3'
loop_
_atom_site_label
_atom_site_fract_x
_atom_site_fract_y
_atom_site_fract_z
Na1 0.000 0.000 0.000
Mn1 0.500 0.500 0.500
Pb1 0.000 0.000 0.500
# ΔE_f in eV/atom: 0.672


# NaTiMnPd2 meta-GGA SCAN single point on PBEsol structure
data_NaTiMnPd2
_cell_length_a 4.493
_cell_length_b 4.493
_cell_length_c 4.543
_cell_angle_alpha 90.00
_cell_angle_beta 90.00
_cell_angle_gamma 90.00
_symmetry_space_group_name_H-M 'P 4/m m m'
_symmetry_Int_Tables_number 123
_symmetry_space_group_name_Hall '-P 4 2'
loop_
_atom_site_label
_atom_site_fract_x
_atom_site_fract_y
_atom_site_fract_z
Na1 0.000 0.000 0.000
Ti1 0.000 0.000 0.500
Mn1 0.500 0.500 0.500
Pd1 0.000 0.500 0.000
# ΔE_f in eV/atom: 1.021


# NaMn3Rh meta-GGA SCAN single point on PBEsol structure
data_NaMn3Rh
_cell_length_a 4.819
_cell_length_b 4.819
_cell_length_c 4.819
_cell_angle_alpha 90.00
_cell_angle_beta 90.00
_cell_angle_gamma 90.00
_symmetry_space_group_name_H-M 'P m -3 m'
_symmetry_Int_Tables_number 221
_symmetry_space_group_name_Hall '-P 4 2 3'
loop_
_atom_site_label
_atom_site_fract_x
_atom_site_fract_y
_atom_site_fract_z
Na1 0.000 0.000 0.000
Mn1 0.000 0.500 0.500
Rh1 0.500 0.500 0.500
# ΔE_f in eV/atom: 0.265


# NaZrMnRh2 meta-GGA SCAN single point on PBEsol structure
data_NaZrMnRh2
_cell_length_a 4.492
_cell_length_b 4.492
_cell_length_c 4.200
_cell_angle_alpha 90.00
_cell_angle_beta 90.00
_cell_angle_gamma 90.00
_symmetry_space_group_name_H-M 'P 4/m m m'
_symmetry_Int_Tables_number 123
_symmetry_space_group_name_Hall '-P 4 2'
loop_
_atom_site_label
_atom_site_fract_x
_atom_site_fract_y
_atom_site_fract_z
Na1 0.000 0.000 0.000
Zr1 0.500 0.500 0.500
Mn1 0.000 0.000 0.500
Rh1 0.000 0.500 0.000
# ΔE_f in eV/atom: 0.838


# NaMn3Ru meta-GGA SCAN single point on PBEsol structure
data_NaMn3Ru
_cell_length_a 4.749
_cell_length_b 4.749
_cell_length_c 4.749
_cell_angle_alpha 90.00
_cell_angle_beta 90.00
_cell_angle_gamma 90.00
_symmetry_space_group_name_H-M 'P m -3 m'
_symmetry_Int_Tables_number 221
_symmetry_space_group_name_Hall '-P 4 2 3'
loop_
_atom_site_label
_atom_site_fract_x
_atom_site_fract_y
_atom_site_fract_z
Na1 0.000 0.000 0.000
Mn1 0.000 0.500 0.500
Ru1 0.500 0.500 0.500
# Distance to the lowest polymorph of the same formula in kJ/mol of formula units: 0.0
# ΔE_f in eV/atom: 0.538


| no. | calculated total energy (eV/atom) |
| --- | --- |
| 1 | -8.504 |
| 2 | -11.687 |
| 3 | -10.635 |
| 4 | -49.290 |
| 5 | -19.788 |
| 6 | -18.285 |
| 7 | -23.304 |
| 8 | -18.224 |